No. 1
Entry from the Alexandria database: crystalline BaAuSe2 at its relaxed geometry (PBE).

Properties
For the formation energy (no corrections), the calculation gives -708 meV/atom. The calculated density is 6.89 g/cm³. Its energy above the most stable polymorph in this dataset is 1.18 eV/f.u.

a b c (Å): 4.186 4.186 6.769
angles (deg): 90.00 90.00 90.00
Space group P4mm (No. 99)
Symmetry-distinct sites (fractional):
1 Ba 0.000 0.000 0.000
2 Au 0.500 0.500 0.533
3 Se 0.000 0.000 0.528
4 Se 0.500 0.500 0.147

=====

No. 2
Entry from the Alexandria database: crystalline BaAuSe2 at its relaxed geometry (PBE).

Properties
For the formation energy (no corrections), the calculation gives -765 meV/atom. The calculated density is 7.36 g/cm³. Its energy above the most stable polymorph in this dataset is 0.95 eV/f.u.

a b c (Å): 4.5536 4.5536 18.5436
angles (deg): 90.00 90.00 120.00
Space group R-3m (No. 166, hexagonal axes)
Symmetry-distinct sites (fractional):
1 Ba 0.0000 0.0000 0.0000
2 Au 0.0000 0.0000 0.5000
3 Se 0.0000 0.0000 0.2294

=====

No. 3
Entry from the Alexandria database: crystalline BaAuSe3 at its relaxed geometry (PBE).

Properties
For the formation energy (no corrections), the calculation gives 612 meV/atom. The calculated density is 3.87 g/cm³. Its energy above the most stable polymorph in this dataset is 7.14 eV/f.u.

a b c (Å): 6.257 6.257 6.257
angles (deg): 90.00 90.00 90.00
Space group Pm-3m (No. 221)
Symmetry-distinct sites (fractional):
1 Ba 0.000 0.000 0.000
2 Au 0.500 0.500 0.500
3 Se 0.000 0.000 0.500

=====

No. 4
Entry from the Alexandria database: crystalline BaAu2Se at its relaxed geometry (PBE).

Properties
For the formation energy (no corrections), the calculation gives -648 meV/atom. The calculated density is 9.09 g/cm³.

a b c (Å): 4.598 6.092 7.964
angles (deg): 90.00 90.00 90.00
Space group Imm2 (No. 44)
Symmetry-distinct sites (fractional):
1 Ba 0.000 0.000 0.000
2 Au 0.000 0.000 0.538
3 Au 0.000 0.500 0.799
4 Se 0.000 0.500 0.189

=====

No. 5
Entry from the Alexandria database: crystalline BaAu2Se at its relaxed geometry (PBE).

Properties
For the formation energy (no corrections), the calculation gives -732 meV/atom. The calculated density is 8.68 g/cm³.

a b c (Å): 4.576 4.576 11.151
angles (deg): 90.00 90.00 90.00
Space group I-4m2 (No. 119)
Symmetry-distinct sites (fractional):
1 Ba 0.000 0.000 0.000
2 Au 0.000 0.000 0.380
3 Se 0.000 0.500 0.250

=====

No. 6
Entry from the Alexandria database: crystalline BaAu3Se at its relaxed geometry (PBE).

Properties
For the formation energy (no corrections), the calculation gives 905 meV/atom. The calculated density is 5.85 g/cm³. Its energy above the most stable polymorph in this dataset is 5.77 eV/f.u.

a b c (Å): 6.119 6.119 6.119
angles (deg): 90.00 90.00 90.00
Space group Pm-3m (No. 221)
Symmetry-distinct sites (fractional):
1 Ba 0.000 0.000 0.000
2 Au 0.000 0.000 0.500
3 Se 0.500 0.500 0.500